Density functional theory data (GGA-PBEsol) for a relaxed CuMoP2 crystal.

Calculated values
SG: P4/mmm, No. 123

Cell lengths 3.081, 3.081, 5.505 Å; angles 90.00, 90.00, 90.00 degrees
Fractional coordinates of all 4 atoms:
1 Cu 0.500 0.500 0.000
2 P 0.000 0.000 0.260
3 P 0.000 0.000 0.740
4 Mo 0.500 0.500 0.500

---

Density functional theory data (GGA-PBEsol) for a relaxed CuMo2P crystal.

Calculated values
SG: R3m, No. 160

Cell lengths 2.819, 2.819, 8.372 Å; angles 80.31, 80.31, 60.00 degrees
Fractional coordinates of all 4 atoms:
1 Mo 0.759 0.759 0.724
2 Mo 0.999 0.999 0.002
3 Cu 0.243 0.243 0.270
4 P 0.499 0.499 0.504

---

Density functional theory data (GGA-PBEsol) for a relaxed Cu2MoP2 crystal.

Calculated values
SG: I4/mmm, No. 139

Cell lengths 3.639, 3.639, 5.817 Å; angles 108.23, 108.23, 90.00 degrees
Last column: magnetic moment on the atom in μB.
Fractional coordinates of all 5 atoms:
1 P 0.750 0.250 0.500  0.00
2 P 0.250 0.750 0.500  0.00
3 Mo 0.000 0.000 0.000  1.84
4 Cu 0.609 0.609 0.219  0.06
5 Cu 0.391 0.391 0.781  0.06

---

Density functional theory data (GGA-PBEsol) for a relaxed CuMoP2 crystal.

Calculated values
SG: F-43m, No. 216

Cell lengths 4.220, 4.220, 4.220 Å; angles 60.00, 60.00, 60.00 degrees
Fractional coordinates of all 4 atoms:
1 Mo 0.250 0.250 0.250
2 Cu 0.500 0.500 0.500
3 P 0.750 0.750 0.750
4 P 0.000 0.000 0.000

---

Density functional theory data (GGA-PBEsol) for a relaxed ScCuMo2P crystal.

Calculated values
SG: P4/mmm, No. 123

Cell lengths 4.522, 4.522, 4.640 Å; angles 90.00, 90.00, 90.00 degrees
Fractional coordinates of all 5 atoms:
1 P 0.000 0.000 0.500
2 Cu 0.500 0.500 0.500
3 Mo 0.500 0.000 0.000
4 Mo 0.000 0.500 0.000
5 Sc 0.000 0.000 0.000

---

Density functional theory data (GGA-PBEsol) for a relaxed CuMoPt2 crystal.

Calculated values
SG: Pmmm, No. 47
E above lowest polymorph: 1.60 kcal/mol of atoms

Cell lengths 2.736, 3.839, 5.375 Å; angles 90.00, 89.99, 90.00 degrees
Fractional coordinates of all 4 atoms:
1 Pt 0.000 0.000 0.751
2 Pt 0.000 0.000 0.249
3 Cu 0.500 0.500 0.000
4 Mo 0.500 0.500 0.500

---

| no. | electronic total energy (eV/atom) | magnetization (μB per cell) | energy of formation (eV per atom) |
| --- | --- | --- | --- |
| 1 | -7.112 | 0.00 | -0.1912 |
| 2 | -8.233 | 0.00 | 0.1825 |
| 3 | -5.774 | 2.20 | 0.6297 |
| 4 | -6.473 | 0.00 | 0.4480 |
| 5 | -6.144 | 0.00 | 1.9091 |
| 6 | -7.744 | 0.00 | -0.2365 |